(1)
{"formula": "Sm3Ho8Tm", "functional": "GGA-PBE", "state": "optimized geometry", "cell": [[7.545, -0.435, -3.550], [-4.397, 6.990, -1.235], [-0.274, 0.435, 8.334]], "species": ["Sm", "Sm", "Sm", "Ho", "Ho", "Ho", "Ho", "Ho", "Ho", "Ho", "Ho", "Tm"], "frac_coords": [[0.500, 0.750, 0.250], [0.500, 0.250, 0.750], [0.000, 0.500, 0.500], [0.490, 0.235, 0.235], [0.510, 0.746, 0.746], [0.000, 0.765, 0.254], [0.000, 0.254, 0.765], [0.252, 0.372, 0.372], [0.748, 0.120, 0.120], [0.000, 0.628, 0.880], [0.000, 0.880, 0.628], [0.000, 0.000, 0.000]], "formation_energy_mev_per_atom": 643}

(2)
{"formula": "ZrVCl", "functional": "GGA-PBE", "state": "optimized geometry", "cell": [[0.747, -3.075, -1.111], [3.856, -2.057, -1.837], [1.432, -1.860, 11.122]], "species": ["V", "V", "Zr", "Zr", "Cl", "Cl"], "frac_coords": [[0.024, 0.913, 0.726], [0.024, 0.404, 0.707], [0.522, 0.802, 0.500], [0.523, 0.015, 0.933], [0.522, 0.239, 0.371], [0.523, 0.579, 0.062]], "e_tot_ev_per_cell": -42.2}

(3)
{"formula": "Ta2CrAg", "functional": "GGA-PBE", "state": "optimized geometry", "cell": [[-2.686, 0.244, -0.425], [-0.254, -2.718, 0.043], [-1.372, 0.268, 8.821]], "species": ["Ag", "Cr", "Ta", "Ta"], "frac_coords": [[0.000, 0.000, 0.515], [0.500, 0.500, 0.746], [0.000, 0.000, 0.988], [0.500, 0.500, 0.252]], "formation_energy_mev_per_atom": 388}

(4)
{"formula": "K3Pu4Se8", "functional": "GGA-PBE", "state": "optimized geometry", "cell": [[8.543, -0.073, -0.105], [-4.126, 7.609, 0.153], [-4.126, -2.498, 7.188]], "species": ["K", "K", "K", "Pu", "Pu", "Pu", "Pu", "Se", "Se", "Se", "Se", "Se", "Se", "Se", "Se"], "frac_coords": [[0.500, 0.500, 0.000], [0.500, 0.000, 0.500], [0.500, 0.500, 0.500], [0.500, 0.000, 0.000], [0.000, 0.500, 0.000], [0.000, 0.000, 0.000], [0.000, 0.000, 0.500], [0.451, 0.205, 0.205], [0.000, 0.769, 0.231], [0.976, 0.229, 0.229], [0.500, 0.766, 0.234], [0.500, 0.234, 0.766], [0.024, 0.771, 0.771], [0.000, 0.231, 0.769], [0.549, 0.795, 0.795]], "e_tot_ev_per_cell": -107.5}